(1)
A plane-wave DFT calculation with PBE-GGA was carried out for a relaxed LiDySc2 crystal.

Lattice parameters (Å, degrees): 3.3337 3.3337 31.7096 90.00 90.00 120.00
Space group R3m (No. 160, hexagonal axes)
One atom of each set of equivalent atoms:
Li (0.0000, 0.0000, 0.0000)
Dy (0.0000, 0.0000, 0.1660)
Sc (0.0000, 0.0000, 0.5859)
Sc (0.0000, 0.0000, 0.7467)

Crystal system: trigonal
Uncorrected energy: -4.6510 eV per atom
Energy relative to the lowest polymorph listed for this composition: 25 meV per atom
Formation enthalpy at 0 K: 0.144 eV per atom

***

(2)
A plane-wave DFT calculation with PBE-GGA was carried out for a relaxed LiDySc2 crystal.

Lattice parameters (Å, degrees): 3.3207 3.3207 31.9380 90.00 90.00 120.00
Space group R-3m (No. 166, hexagonal axes)
One atom of each set of equivalent atoms:
Li (0.0000, 0.0000, 0.0000)
Dy (0.0000, 0.0000, 0.5000)
Sc (0.0000, 0.0000, 0.2529)

Crystal system: trigonal
Uncorrected energy: -4.6426 eV per atom
Energy relative to the lowest polymorph listed for this composition: 33 meV per atom
Formation enthalpy at 0 K: 0.152 eV per atom